{
  "formula": "LiSi3Pt2",
  "functional": "PBE-GGA",
  "state": "relaxed",
  "m_tot_mub_per_fu": 0.0,
  "rho_g_cm3": 8.3,
  "space_group": "C2/m",
  "crystal_system": "monoclinic",
  "raw_formation_energy_ev_per_atom": -0.50,
  "dos_ef_per_ev_fu": 1.58,
  "cell": [[8.0008, -1.8691, 0.0000], [8.0008, 1.8691, 0.0000], [-4.1079, 0.0000, 9.6866]],
  "species": ["Li", "Li", "Li", "Si", "Si", "Si", "Si", "Si", "Si", "Si", "Si", "Si", "Pt", "Pt", "Pt", "Pt", "Pt", "Pt"],
  "frac_coords": [[0.0000, 0.0000, 0.0000], [0.1637, 0.1637, 0.7019], [0.8363, 0.8363, 0.2981], [0.0148, 0.0148, 0.3537], [0.2182, 0.2182, 0.3785], [0.3124, 0.3124, 0.0337], [0.3848, 0.3848, 0.8166], [0.5000, 0.5000, 0.5000], [0.6152, 0.6152, 0.1834], [0.6876, 0.6876, 0.9663], [0.7818, 0.7818, 0.6215], [0.9852, 0.9852, 0.6463], [0.1942, 0.1942, 0.1314], [0.3644, 0.3644, 0.5637], [0.4657, 0.4657, 0.1963], [0.5343, 0.5343, 0.8037], [0.6355, 0.6355, 0.4363], [0.8058, 0.8058, 0.8686]]
}